(1)
Density functional theory data (GGA-PBE) for a geometry-optimized Ti3MnAs structure.

## Properties
Calculated density   5.15 Mg/m³
Offset from the most stable computed form   0.000 eV/atom
Density of states at the Fermi level   7.7 states/eV/cell

Unit cell a=4.451 b=4.451 c=4.451 alpha=90.00 beta=90.00 gamma=90.00
Each line ends with the local moment (μB).
Fractional positions:
As 0.500 0.500 0.500  -0.01
Mn 0.000 0.000 0.000  -0.07
Ti 0.000 0.500 0.000  0.18
Ti 0.000 0.000 0.500  0.14
Ti 0.500 0.000 0.000  0.27

(2)
Density functional theory data (GGA-PBE) for a geometry-optimized TiMnAs2 structure.

## Properties
Calculated density   5.93 Mg/m³
Offset from the most stable computed form   0.046 eV/atom
Density of states at the Fermi level   2.7 states/eV/cell

Unit cell a=3.688 b=3.688 c=6.370 alpha=73.17 beta=73.17 gamma=60.00
Each line ends with the local moment (μB).
Fractional positions:
As 0.251 0.251 0.247  -0.04
As 0.749 0.749 0.753  -0.04
Mn 0.000 0.000 0.000  3.66
Ti 0.500 0.500 0.500  0.43

(3)
Density functional theory data (GGA-PBE) for a geometry-optimized Ti5Mn2As5 structure.

## Properties
Calculated density   5.64 Mg/m³
Density of states at the Fermi level   11.6 states/eV/cell
VASP energy   -86.49 eV/cell

Unit cell a=6.126 b=6.645 c=6.645 alpha=77.73 beta=62.55 gamma=62.55
Each line ends with the local moment (μB).
Fractional positions:
Ti 0.121 0.407 0.000  -0.09
Ti 0.528 0.593 0.000  -0.09
Ti 0.121 0.000 0.407  -0.09
Ti 0.528 0.000 0.593  -0.09
Ti 0.881 0.000 0.000  0.07
Mn 0.256 0.500 0.500  2.73
Mn 0.756 0.500 0.500  2.73
As 0.007 0.716 0.284  -0.02
As 0.007 0.284 0.716  -0.02
As 0.723 0.284 0.284  -0.02
As 0.474 0.000 0.000  0.01
As 0.292 0.716 0.716  -0.02

(4)
Density functional theory data (GGA-PBE) for a geometry-optimized TiMn4As2 structure.

## Properties
Calculated density   5.54 Mg/m³
Density of states at the Fermi level   5.9 states/eV/cell
VASP energy   -49.47 eV/cell

Unit cell a=4.336 b=4.336 c=7.330 alpha=72.80 beta=72.80 gamma=90.00
Each line ends with the local moment (μB).
Fractional positions:
As 0.621 0.621 0.759  -0.04
As 0.379 0.379 0.241  -0.04
Mn 0.809 0.809 0.383  3.89
Mn 0.191 0.191 0.617  3.89
Mn 0.000 0.500 0.000  2.41
Mn 0.500 0.000 0.000  2.41
Ti 0.000 0.000 0.000  -0.85